DFT (PBE-GGA) results for a relaxed Mn2AsAu crystal.

The structure in CIF format:
```
data_Mn2AsAu
_chemical_formula_sum 'Mn4 As2 Au2'
_cell_length_a 3.808
_cell_length_b 3.808
_cell_length_c 9.001
_cell_angle_alpha 90.00
_cell_angle_beta 90.00
_cell_angle_gamma 90.00
_symmetry_space_group_name_H-M 'I -4 m 2'
_symmetry_Int_Tables_number 119
_symmetry_space_group_name_Hall 'I -4 -2'
loop_
_atom_site_label
_atom_site_type_symbol
_atom_site_fract_x
_atom_site_fract_y
_atom_site_fract_z
Mn1 Mn 0.000 0.000 0.000
Mn2 Mn 0.000 0.500 0.250
As1 As 0.000 0.500 0.750
Au1 Au 0.000 0.000 0.500
```

Properties
As for the electronic total energy: -6.46 eV per atom.